No. 1
The following is a PBE calculation of a relaxed structure of In3Ni, from the Open Quantum Materials Database.

Unit cell a=4.3535 b=4.3535 c=8.8110 alpha=90.00 beta=90.00 gamma=90.00
Space group I4/mmm (No. 139)
One atom of each set of equivalent atoms:
In: 0.0000 0.0000 0.0000 (multiplicity 2)
In: 0.0000 0.5000 0.2500 (multiplicity 4)
Ni: 0.0000 0.0000 0.5000 (multiplicity 2)

Properties
Total DFT energy (no corrections), eV for the cell shown: -26.0


No. 2
The following is a PBE calculation of a relaxed structure of TbEr4Se5, from the Open Quantum Materials Database.

Unit cell a=4.0314 b=4.0314 c=28.6672 alpha=90.00 beta=90.00 gamma=90.00
Space group I4/mmm (No. 139)
One atom of each set of equivalent atoms:
Tb: 0.0000 0.0000 0.0000 (multiplicity 2)
Er: 0.0000 0.0000 0.2038 (multiplicity 4)
Er: 0.0000 0.0000 0.4025 (multiplicity 4)
Se: 0.0000 0.0000 0.1023 (multiplicity 4)
Se: 0.0000 0.0000 0.3026 (multiplicity 4)
Se: 0.0000 0.0000 0.5000 (multiplicity 2)

Properties
Total DFT energy (no corrections), eV for the cell shown: -114.7


No. 3
The following is a PBE calculation of a relaxed structure of NdTmTlTe3, from the Open Quantum Materials Database.

Unit cell a=4.3759 b=15.3965 c=12.1771 alpha=90.00 beta=90.00 gamma=90.00
Space group Cmcm (No. 63)
One atom of each set of equivalent atoms:
Nd: 0.0000 0.0803 0.2500 (multiplicity 4)
Tm: 0.0000 0.5000 0.0000 (multiplicity 4)
Tl: 0.0000 0.2348 0.7500 (multiplicity 4)
Te: 0.0000 0.1411 0.0143 (multiplicity 8)
Te: 0.0000 0.4398 0.2500 (multiplicity 4)

Properties
Distance to the lowest polymorph of the same formula, meV/atom: 43


No. 4
The following is a PBE calculation of a relaxed structure of BaPmIr, from the Open Quantum Materials Database.

Unit cell a=7.2217 b=7.2217 c=7.2217 alpha=90.00 beta=90.00 gamma=90.00
Space group F-43m (No. 216)
One atom of each set of equivalent atoms:
Ba: 0.0000 0.0000 0.0000 (multiplicity 4)
Pm: 0.0000 0.0000 0.5000 (multiplicity 4)
Ir: 0.2500 0.2500 0.7500 (multiplicity 4)

Properties
Distance to the lowest polymorph of the same formula, meV/atom: 0


No. 5
The following is a PBE calculation of a relaxed structure of MgBeHg2, from the Open Quantum Materials Database.

Unit cell a=6.7629 b=6.7629 c=6.7629 alpha=90.00 beta=90.00 gamma=90.00
Space group F-43m (No. 216)
One atom of each set of equivalent atoms:
Mg: 0.0000 0.0000 0.0000 (multiplicity 4)
Be: 0.2500 0.2500 0.7500 (multiplicity 4)
Hg: 0.0000 0.0000 0.5000 (multiplicity 4)
Hg: 0.2500 0.2500 0.2500 (multiplicity 4)

Properties
Total DFT energy (no corrections), eV for the cell shown: -17.7


No. 6
The following is a PBE calculation of a relaxed structure of CsSmZr, from the Open Quantum Materials Database.

Unit cell a=7.4740 b=7.4740 c=7.4740 alpha=90.00 beta=90.00 gamma=90.00
Space group F-43m (No. 216)
One atom of each set of equivalent atoms:
Cs: 0.0000 0.0000 0.0000 (multiplicity 4)
Sm: 0.2500 0.2500 0.2500 (multiplicity 4)
Zr: 0.2500 0.2500 0.7500 (multiplicity 4)

Properties
Distance to the lowest polymorph of the same formula, meV/atom: 76


No. 7
The following is a PBE calculation of a relaxed structure of MgFeBiPt, from the Open Quantum Materials Database.

Unit cell a=6.6136 b=6.6136 c=6.6136 alpha=90.00 beta=90.00 gamma=90.00
Space group F-43m (No. 216)
One atom of each set of equivalent atoms:
Mg: 0.0000 0.0000 0.0000 (multiplicity 4)
Fe: 0.2500 0.2500 0.7500 (multiplicity 4)
Bi: 0.0000 0.0000 0.5000 (multiplicity 4)
Pt: 0.2500 0.2500 0.2500 (multiplicity 4)

Properties
Distance to the lowest polymorph of the same formula, meV/atom: 0


No. 8
The following is a PBE calculation of a relaxed structure of HoZrGa2Ni4, from the Open Quantum Materials Database.

Unit cell a=4.1302 b=4.1302 c=8.4214 alpha=90.00 beta=90.00 gamma=120.00
Space group P-6m2 (No. 187)
One atom of each set of equivalent atoms:
Ho: 0.0000 0.0000 0.0000 (multiplicity 1)
Zr: 0.3333 0.6667 0.5000 (multiplicity 1)
Ga: 0.6667 0.3333 0.2596 (multiplicity 2)
Ni: 0.0000 0.0000 0.3411 (multiplicity 2)
Ni: 0.3333 0.6667 0.1842 (multiplicity 2)

Properties
Total DFT energy (no corrections), eV for the cell shown: -46.0


| no. | V (Å³/f.u.) | calculated density (g/cm³) |
| --- | --- | --- |
| 1 | 83.50 | 8.02 |
| 2 | 232.96 | 8.72 |
| 3 | 205.10 | 7.29 |
| 4 | 94.16 | 8.37 |
| 5 | 77.33 | 9.33 |
| 6 | 104.38 | 5.96 |
| 7 | 72.32 | 11.12 |
| 8 | 124.41 | 8.41 |